1.
The following is a PBE calculation of a geometry-optimized NbReSeBr2 structure, from Alexandria.

Unit cell a=5.2153 b=5.2153 c=4.6934 alpha=90.00 beta=90.00 gamma=90.00
Closest atoms and distances in Å follow each position.
Sites, in units of the cell vectors:
Nb: 0.0000 0.0000 0.0000  8 Br 3.51, 4 Se 3.69
Re: 0.5000 0.5000 0.5000  2 Se 2.35, 4 Br 2.61
Se: 0.5000 0.5000 0.0000  2 Re 2.35
Br: 0.0000 0.5000 0.5000  2 Re 2.61
Br: 0.5000 0.0000 0.5000  2 Re 2.61

## Properties
raw formation energy: 1.07 eV/atom
polymorph energy (0 for the lowest one): 99 meV/atom

=====

2.
The following is a PBE calculation of a geometry-optimized NbReSeBr2 structure, from Alexandria.

Unit cell a=5.2480 b=5.2480 c=5.0643 alpha=90.00 beta=90.00 gamma=90.00
Closest atoms and distances in Å follow each position.
Sites, in units of the cell vectors:
Nb: 0.0000 0.0000 0.0000  2 Se 2.53, 4 Br 2.62
Re: 0.5000 0.5000 0.5000  8 Br 3.65, 4 Se 3.71
Se: 0.0000 0.0000 0.5000  2 Nb 2.53
Br: 0.0000 0.5000 0.0000  2 Nb 2.62
Br: 0.5000 0.0000 0.0000  2 Nb 2.62

## Properties
raw formation energy: 0.97 eV/atom
polymorph energy (0 for the lowest one): 0 meV/atom

=====

3.
The following is a PBE calculation of a geometry-optimized Nb2Rh2Br structure, from Alexandria.

Unit cell a=7.7878 b=7.7878 c=2.9881 alpha=90.00 beta=90.00 gamma=90.00
Closest atoms and distances in Å follow each position.
Sites, in units of the cell vectors:
Nb: 0.1495 0.3505 0.0000  6 Rh 2.70-2.77, 2 Nb 2.99
Nb: 0.3505 0.8505 0.0000  6 Rh 2.70-2.77, 2 Nb 2.99
Nb: 0.6495 0.1495 0.0000  6 Rh 2.70-2.77, 2 Nb 2.99
Nb: 0.8505 0.6495 0.0000  6 Rh 2.70-2.77, 2 Nb 2.99
Rh: 0.1386 0.6386 0.5000  6 Nb 2.70-2.77, 2 Rh 2.99, 2 Br 3.01
Rh: 0.3614 0.1386 0.5000  6 Nb 2.70-2.77, 2 Rh 2.99, 2 Br 3.01
Rh: 0.6386 0.8614 0.5000  6 Nb 2.70-2.77, 2 Rh 2.99, 2 Br 3.01
Rh: 0.8614 0.3614 0.5000  6 Nb 2.70-2.77, 2 Rh 2.99, 2 Br 3.01
Br: 0.0000 0.0000 0.5000  2 Br 2.99, 4 Rh 3.01, 8 Nb 3.32
Br: 0.5000 0.5000 0.5000  2 Br 2.99, 4 Rh 3.01, 8 Nb 3.32

## Properties
raw formation energy: 0.02 eV/atom
polymorph energy (0 for the lowest one): 0 meV/atom

=====

4.
The following is a PBE calculation of a geometry-optimized Nb3RhBr structure, from Alexandria.

Unit cell a=4.9035 b=4.9035 c=4.9035 alpha=90.00 beta=90.00 gamma=90.00
Closest atoms and distances in Å follow each position.
Sites, in units of the cell vectors:
Nb: 0.0000 0.0000 0.5000  2 Rh 2.45
Nb: 0.0000 0.5000 0.0000  2 Rh 2.45
Nb: 0.5000 0.0000 0.0000  2 Rh 2.45
Rh: 0.0000 0.0000 0.0000  6 Nb 2.45
Br: 0.5000 0.5000 0.5000  12 Nb 3.47

## Properties
raw formation energy: 1.11 eV/atom
polymorph energy (0 for the lowest one): 0 meV/atom

=====

5.
The following is a PBE calculation of a geometry-optimized NbRhBr2 structure, from Alexandria.

Unit cell a=8.9275 b=8.9275 c=8.9275 alpha=20.98 beta=20.98 gamma=20.98
Closest atoms and distances in Å follow each position.
Sites, in units of the cell vectors:
Nb: 0.0000 0.0000 0.0000  6 Br 2.68
Rh: 0.5000 0.5000 0.5000  2 Br 2.45
Br: 0.4064 0.4064 0.4064  1 Rh 2.45, 3 Nb 2.68
Br: 0.5936 0.5936 0.5936  1 Rh 2.45, 3 Nb 2.68

## Properties
raw formation energy: 0.15 eV/atom
polymorph energy (0 for the lowest one): 0 meV/atom

=====

6.
The following is a PBE calculation of a geometry-optimized NbRhBr2 structure, from Alexandria.

Unit cell a=4.6461 b=4.6461 c=4.6461 alpha=60.00 beta=60.00 gamma=60.00
Closest atoms and distances in Å follow each position.
Sites, in units of the cell vectors:
Nb: 0.0000 0.0000 0.0000  8 Br 2.85
Rh: 0.5000 0.5000 0.5000  8 Br 2.85
Br: 0.2500 0.2500 0.2500  4 Rh 2.85, 4 Nb 2.85
Br: 0.7500 0.7500 0.7500  4 Nb 2.85, 4 Rh 2.85

## Properties
raw formation energy: 0.45 eV/atom
polymorph energy (0 for the lowest one): 299 meV/atom

=====

7.
The following is a PBE calculation of a geometry-optimized Nb3RhBr structure, from Alexandria.

Unit cell a=4.6894 b=4.6894 c=4.6894 alpha=90.00 beta=90.00 gamma=90.00
Closest atoms and distances in Å follow each position.
Sites, in units of the cell vectors:
Nb: 0.0000 0.0000 0.5000  2 Br 2.34
Nb: 0.0000 0.5000 0.0000  2 Br 2.34
Nb: 0.5000 0.0000 0.0000  2 Br 2.34
Rh: 0.5000 0.5000 0.5000  12 Nb 3.32
Br: 0.0000 0.0000 0.0000  6 Nb 2.34

## Properties
raw formation energy: 1.26 eV/atom
polymorph energy (0 for the lowest one): 143 meV/atom

=====

8.
The following is a PBE calculation of a geometry-optimized Nb2Rh2Br structure, from Alexandria.

Unit cell a=6.5646 b=6.5646 c=6.5646 alpha=143.27 beta=143.27 gamma=52.91
Closest atoms and distances in Å follow each position.
Sites, in units of the cell vectors:
Nb: 0.2500 0.7500 0.5000  4 Rh 2.63, 4 Nb 2.92
Nb: 0.7500 0.2500 0.5000  4 Rh 2.63, 4 Nb 2.92
Rh: 0.1123 0.1123 0.0000  4 Nb 2.63, 1 Rh 2.64
Rh: 0.8877 0.8877 0.0000  4 Nb 2.63, 1 Rh 2.64
Br: 0.5000 0.5000 0.0000  8 Rh 3.21, 8 Nb 3.59

## Properties
raw formation energy: 0.21 eV/atom
polymorph energy (0 for the lowest one): 182 meV/atom

=====

9.
The following is a PBE calculation of a geometry-optimized NbTeRh2Br structure, from Alexandria.

Unit cell a=4.8441 b=4.8441 c=5.3580 alpha=90.00 beta=90.00 gamma=90.00
Closest atoms and distances in Å follow each position.
Sites, in units of the cell vectors:
Nb: 0.0000 0.0000 0.0000  4 Rh 2.42, 2 Te 2.68
Te: 0.0000 0.0000 0.5000  2 Nb 2.68
Rh: 0.0000 0.5000 0.0000  2 Nb 2.42
Rh: 0.5000 0.0000 0.0000  2 Nb 2.42
Br: 0.5000 0.5000 0.5000  4 Te 3.43, 8 Rh 3.61

## Properties
raw formation energy: 0.87 eV/atom

=====

10.
The following is a PBE calculation of a geometry-optimized NbRu2Br structure, from Alexandria.

Unit cell a=4.5409 b=4.5409 c=4.5409 alpha=60.00 beta=60.00 gamma=60.00
Closest atoms and distances in Å follow each position.
Sites, in units of the cell vectors:
Nb: 0.0000 0.0000 0.0000  8 Ru 2.78
Ru: 0.2500 0.2500 0.2500  4 Br 2.78, 4 Nb 2.78
Ru: 0.7500 0.7500 0.7500  4 Nb 2.78, 4 Br 2.78
Br: 0.5000 0.5000 0.5000  8 Ru 2.78

## Properties
raw formation energy: 0.75 eV/atom
polymorph energy (0 for the lowest one): 0 meV/atom

=====

11.
The following is a PBE calculation of a geometry-optimized NbRu2Br structure, from Alexandria.

Unit cell a=6.9831 b=6.9831 c=6.9831 alpha=132.55 beta=132.55 gamma=69.35
Closest atoms and distances in Å follow each position.
Sites, in units of the cell vectors:
Nb: 0.0000 0.0000 0.0000  4 Ru 2.46
Nb: 0.7500 0.2500 0.5000  4 Ru 2.46
Ru: 0.1279 0.6250 0.0029  2 Br 2.44, 2 Nb 2.46
Ru: 0.3750 0.3779 0.5029  2 Br 2.44, 2 Nb 2.46
Ru: 0.6221 0.1250 0.9971  2 Br 2.44, 2 Nb 2.46
Ru: 0.8750 0.8721 0.4971  2 Br 2.44, 2 Nb 2.46
Br: 0.2500 0.7500 0.5000  4 Ru 2.44
Br: 0.5000 0.5000 0.0000  4 Ru 2.44

## Properties
raw formation energy: 0.87 eV/atom
polymorph energy (0 for the lowest one): 117 meV/atom

=====

12.
The following is a PBE calculation of a geometry-optimized NbSb2RuBr structure, from Alexandria.

Unit cell a=5.4050 b=5.4050 c=4.9604 alpha=90.00 beta=90.00 gamma=90.00
Closest atoms and distances in Å follow each position.
Sites, in units of the cell vectors:
Nb: 0.0000 0.0000 0.0000  2 Br 2.48, 4 Sb 2.70
Sb: 0.0000 0.5000 0.0000  2 Nb 2.70
Sb: 0.5000 0.0000 0.0000  2 Nb 2.70
Ru: 0.5000 0.5000 0.5000  8 Sb 3.67, 4 Br 3.82
Br: 0.0000 0.0000 0.5000  2 Nb 2.48

## Properties
raw formation energy: 1.03 eV/atom

=====

13.
The following is a PBE calculation of a geometry-optimized NbSbRu2Br structure, from Alexandria.

Unit cell a=4.7950 b=4.7950 c=5.2939 alpha=90.00 beta=90.00 gamma=90.00
Closest atoms and distances in Å follow each position.
Sites, in units of the cell vectors:
Nb: 0.0000 0.0000 0.0000  4 Br 3.39, 8 Ru 3.57
Sb: 0.5000 0.5000 0.5000  4 Ru 2.40, 2 Br 2.65
Ru: 0.0000 0.5000 0.5000  2 Sb 2.40
Ru: 0.5000 0.0000 0.5000  2 Sb 2.40
Br: 0.5000 0.5000 0.0000  2 Sb 2.65

## Properties
raw formation energy: 1.77 eV/atom

=====

14.
The following is a PBE calculation of a geometry-optimized NbSiRu2Br structure, from Alexandria.

Unit cell a=4.4922 b=4.4922 c=4.7883 alpha=90.00 beta=90.00 gamma=90.00
Closest atoms and distances in Å follow each position.
Sites, in units of the cell vectors:
Nb: 0.0000 0.0000 0.0000  2 Br 2.39
Si: 0.5000 0.5000 0.0000  4 Nb 3.18, 8 Ru 3.28
Ru: 0.0000 0.5000 0.5000  2 Br 2.25
Ru: 0.5000 0.0000 0.5000  2 Br 2.25
Br: 0.0000 0.0000 0.5000  4 Ru 2.25, 2 Nb 2.39

## Properties
raw formation energy: 1.43 eV/atom

=====

15.
The following is a PBE calculation of a geometry-optimized TiNbRuBr2 structure, from Alexandria.

Unit cell a=4.9031 b=4.9031 c=4.9079 alpha=90.00 beta=90.00 gamma=90.00
Closest atoms and distances in Å follow each position.
Sites, in units of the cell vectors:
Ti: 0.0000 0.0000 0.0000  4 Nb 3.47, 8 Br 3.47
Nb: 0.5000 0.5000 0.0000  2 Ru 2.45
Ru: 0.5000 0.5000 0.5000  4 Br 2.45, 2 Nb 2.45
Br: 0.0000 0.5000 0.5000  2 Ru 2.45
Br: 0.5000 0.0000 0.5000  2 Ru 2.45

## Properties
raw formation energy: 1.08 eV/atom

=====

16.
The following is a PBE calculation of a geometry-optimized Zr2NbRuBr structure, from Alexandria.

Unit cell a=5.1466 b=5.1466 c=4.7687 alpha=90.00 beta=90.00 gamma=90.00
Closest atoms and distances in Å follow each position.
Sites, in units of the cell vectors:
Zr: 0.0000 0.5000 0.0000  2 Ru 2.57
Zr: 0.5000 0.0000 0.0000  2 Ru 2.57
Nb: 0.0000 0.0000 0.5000  2 Ru 2.38
Ru: 0.0000 0.0000 0.0000  2 Nb 2.38, 4 Zr 2.57
Br: 0.5000 0.5000 0.5000  8 Zr 3.51, 4 Nb 3.64

## Properties
raw formation energy: 0.53 eV/atom

=====

17.
The following is a PBE calculation of a geometry-optimized ZrNbRuBr2 structure, from Alexandria.

Unit cell a=4.9342 b=4.9342 c=5.0120 alpha=90.00 beta=90.00 gamma=90.00
Closest atoms and distances in Å follow each position.
Sites, in units of the cell vectors:
Zr: 0.0000 0.0000 0.0000  2 Ru 2.51
Nb: 0.5000 0.5000 0.0000  4 Zr 3.49, 8 Br 3.52
Ru: 0.0000 0.0000 0.5000  4 Br 2.47, 2 Zr 2.51
Br: 0.0000 0.5000 0.5000  2 Ru 2.47
Br: 0.5000 0.0000 0.5000  2 Ru 2.47

## Properties
raw formation energy: 1.02 eV/atom

=====

18.
The following is a PBE calculation of a geometry-optimized NbSBr2 structure, from Alexandria.

Unit cell a=7.7150 b=7.7150 c=7.7150 alpha=153.59 beta=45.83 gamma=143.25
Closest atoms and distances in Å follow each position.
Sites, in units of the cell vectors:
Nb: 0.0000 0.0000 0.0000  1 S 2.21
S: 0.5454 0.5454 0.0000  1 Nb 2.21
Br: 0.2040 0.5663 0.6377  2 Nb 2.65
Br: 0.9286 0.5663 0.3623  2 Nb 2.65

## Properties
raw formation energy: -0.77 eV/atom
polymorph energy (0 for the lowest one): 0 meV/atom

=====

19.
The following is a PBE calculation of a geometry-optimized NbSBr2 structure, from Alexandria.

Unit cell a=7.2862 b=7.2862 c=7.2862 alpha=96.05 beta=96.05 gamma=142.13
Closest atoms and distances in Å follow each position.
Sites, in units of the cell vectors:
Nb: 0.0000 0.0000 0.0000  2 S 2.36
Nb: 0.7500 0.2500 0.5000  2 S 2.36
S: 0.2500 0.7500 0.5000  2 Nb 2.36
S: 0.5000 0.5000 0.0000  2 Nb 2.36
Br: 0.3750 0.0205 0.1455  2 Nb 2.71
Br: 0.7705 0.6250 0.6455  2 Nb 2.71
Br: 0.8750 0.2295 0.8545  2 Nb 2.71
Br: 0.9795 0.1250 0.3545  2 Nb 2.71

## Properties
raw formation energy: -0.53 eV/atom
polymorph energy (0 for the lowest one): 232 meV/atom

=====

20.
The following is a PBE calculation of a geometry-optimized NbS2Br structure, from Alexandria.

Unit cell a=9.0855 b=9.0855 c=9.0855 alpha=21.48 beta=21.48 gamma=21.48
Closest atoms and distances in Å follow each position.
Sites, in units of the cell vectors:
Nb: 0.0000 0.0000 0.0000  2 S 2.26
S: 0.0850 0.0850 0.0850  1 Nb 2.26
S: 0.9150 0.9150 0.9150  1 Nb 2.26
Br: 0.5000 0.5000 0.5000  6 S 2.92

## Properties
raw formation energy: 0.61 eV/atom
polymorph energy (0 for the lowest one): 1274 meV/atom

=====

| no. | E_tot (eV/atom) | magnetic moment (μB per formula unit) |
| --- | --- | --- |
| 1 | -4.798 | 3.4 |
| 2 | -4.897 | 6.3 |
| 3 | -7.278 | 0.0 |
| 4 | -6.733 | 0.0 |
| 5 | -5.045 | 0.0 |
| 6 | -4.746 | 0.0 |
| 7 | -6.590 | 0.0 |
| 8 | -7.096 | 0.0 |
| 9 | -5.050 | 0.0 |
| 10 | -6.819 | 0.1 |
| 11 | -6.703 | 0.0 |
| 12 | -4.822 | 2.9 |
| 13 | -5.111 | 0.3 |
| 14 | -5.716 | 0.0 |
| 15 | -5.037 | 0.0 |
| 16 | -7.089 | 0.0 |
| 17 | -5.228 | 2.4 |
| 18 | -5.151 | 0.0 |
| 19 | -4.919 | 1.0 |
| 20 | -4.388 | 0.0 |